(1)
# CsRb3N | Alexandria | GGA-PBE | optimized geometry
# - Distance to the lowest polymorph of the same formula: 657 meV per atom
# - Formation energy (no corrections): 1.24 eV/atom
# - Magnetic moment: 2.331 μB/cell
data_CsRb3N
_cell_length_a 8.933
_cell_length_b 8.933
_cell_length_c 8.933
_cell_angle_alpha 90.00
_cell_angle_beta 90.00
_cell_angle_gamma 90.00
_space_group_name_H-M_alt 'P m -3 m'
_space_group_IT_number 221
_space_group_name_Hall '-P 4 2 3'
loop_
_atom_site_label
_atom_site_type_symbol
_atom_site_fract_x
_atom_site_fract_y
_atom_site_fract_z
Cs1 Cs 0.000 0.000 0.000
Rb1 Rb 0.000 0.000 0.500
N1 N 0.500 0.500 0.500

***

(2)
# YPaIr2 | Alexandria | GGA-PBE | optimized geometry
# - Distance to the lowest polymorph of the same formula: 8 meV per atom
# - Magnetic moment: 0.000 μB/cell
data_YPaIr2
_cell_length_a 4.267
_cell_length_b 5.733
_cell_length_c 7.510
_cell_angle_alpha 90.00
_cell_angle_beta 90.00
_cell_angle_gamma 90.00
_space_group_name_H-M_alt 'P m m n'
_space_group_IT_number 59
loop_
_space_group_symop_operation_xyz
'x,y,z'
'-x,-y,-z'
'-x+1/2,-y+1/2,z'
'x+1/2,y+1/2,-z'
'x+1/2,-y,-z'
'-x+1/2,y,z'
'-x,y+1/2,-z'
'x,-y+1/2,z'
loop_
_atom_site_label
_atom_site_type_symbol
_atom_site_fract_x
_atom_site_fract_y
_atom_site_fract_z
Y1 Y 0.250 0.250 0.076
Pa1 Pa 0.250 0.750 0.414
Ir1 Ir 0.250 0.502 0.733

***

(3)
# SmCdAg3 | Alexandria | GGA-PBE | optimized geometry
# - Distance to the lowest polymorph of the same formula: 25 meV per atom
# - Magnetic moment: 0.000 μB/cell
data_SmCdAg3
_cell_length_a 9.632
_cell_length_b 4.927
_cell_length_c 9.288
_cell_angle_alpha 90.00
_cell_angle_beta 90.00
_cell_angle_gamma 90.00
_space_group_name_H-M_alt 'P n m a'
_space_group_IT_number 62
_space_group_name_Hall '-P 2ac 2n'
loop_
_atom_site_label
_atom_site_type_symbol
_atom_site_fract_x
_atom_site_fract_y
_atom_site_fract_z
Sm1 Sm 0.231 0.250 0.012
Cd1 Cd 0.082 0.250 0.360
Ag1 Ag 0.079 0.750 0.151
Ag2 Ag 0.118 0.750 0.847
Ag3 Ag 0.131 0.250 0.660

***

(4)
# K3NaP | Alexandria | GGA-PBE | optimized geometry
# - Distance to the lowest polymorph of the same formula: 0 meV per atom
# - Magnetic moment: 1.000 μB/cell
data_K3NaP
_cell_length_a 6.372
_cell_length_b 6.372
_cell_length_c 6.372
_cell_angle_alpha 90.00
_cell_angle_beta 90.00
_cell_angle_gamma 90.00
_space_group_name_H-M_alt 'P m -3 m'
_space_group_IT_number 221
_space_group_name_Hall '-P 4 2 3'
loop_
_atom_site_label
_atom_site_type_symbol
_atom_site_fract_x
_atom_site_fract_y
_atom_site_fract_z
K1 K 0.000 0.000 0.500
Na1 Na 0.500 0.500 0.500
P1 P 0.000 0.000 0.000

***

(5)
# Sc3Se | Alexandria | GGA-PBE | optimized geometry
# - Distance to the lowest polymorph of the same formula: 437 meV per atom
# - Formation energy (no corrections): -0.37 eV/atom
# - Magnetic moment: 1.801 μB/cell
data_Sc3Se
_cell_length_a 4.361
_cell_length_b 4.361
_cell_length_c 4.361
_cell_angle_alpha 90.00
_cell_angle_beta 90.00
_cell_angle_gamma 90.00
_space_group_name_H-M_alt 'P m -3 m'
_space_group_IT_number 221
_space_group_name_Hall '-P 4 2 3'
loop_
_atom_site_label
_atom_site_type_symbol
_atom_site_fract_x
_atom_site_fract_y
_atom_site_fract_z
Sc1 Sc 0.000 0.000 0.500
Se1 Se 0.500 0.500 0.500

***

(6)
# Ho8SiGe3Te3 | Alexandria | GGA-PBE | optimized geometry
# - Formation energy (no corrections): -0.98 eV/atom
# - Magnetic moment: 2.451 μB/cell
data_Ho8SiGe3Te3
_cell_length_a 8.4018
_cell_length_b 8.4018
_cell_length_c 21.0490
_cell_angle_alpha 90.00
_cell_angle_beta 90.00
_cell_angle_gamma 120.00
_space_group_name_H-M_alt 'R -3 m'
_space_group_IT_number 166
_space_group_name_Hall '-R 3 2"'
loop_
_atom_site_label
_atom_site_type_symbol
_atom_site_fract_x
_atom_site_fract_y
_atom_site_fract_z
Ho1 Ho 0.0000 0.0000 0.2397
Ho2 Ho 0.0027 0.5013 0.2387
Si1 Si 0.0000 0.0000 0.5000
Ge1 Ge 0.0000 0.5000 0.5000
Te1 Te 0.0000 0.5000 0.0000